# Tm5CdPb3 PBE optimized geometry
data_Tm5CdPb3
_chemical_formula_sum 'Tm10 Cd2 Pb6'
_cell_length_a 9.2572
_cell_length_b 9.2572
_cell_length_c 6.5485
_cell_angle_alpha 90.00
_cell_angle_beta 90.00
_cell_angle_gamma 120.00
_space_group_name_H-M_alt 'P 1'
_space_group_IT_number 1
loop_
_space_group_symop_operation_xyz
'x,y,z'
loop_
_atom_site_label
_atom_site_fract_x
_atom_site_fract_y
_atom_site_fract_z
_atom_site_occupancy
Tm1 0.0000 0.2796 0.2500 1
Tm2 0.0000 0.7204 0.7500 1
Tm3 0.2796 0.0000 0.2500 1
Tm4 0.2796 0.2796 0.7500 1
Tm5 0.3333 0.6667 0.0000 1
Tm6 0.3333 0.6667 0.5000 1
Tm7 0.6667 0.3333 0.0000 1
Tm8 0.6667 0.3333 0.5000 1
Tm9 0.7204 0.0000 0.7500 1
Tm10 0.7204 0.7204 0.2500 1
Cd1 0.0000 0.0000 0.0000 1
Cd2 0.0000 0.0000 0.5000 1
Pb1 0.0000 0.3767 0.7500 1
Pb2 0.0000 0.6233 0.2500 1
Pb3 0.3767 0.0000 0.7500 1
Pb4 0.3767 0.3767 0.2500 1
Pb5 0.6233 0.0000 0.2500 1
Pb6 0.6233 0.6233 0.7500 1
# Total magnetic moment: 0.00 μB per formula unit
# Calculated density: 10.79 Mg/m³
# Symmetry: P6_3/mcm (193)
# Formation enthalpy at 0 K: -0.43 eV/atom

# Tm6CdPb5 PBE optimized geometry
data_Tm6CdPb5
_chemical_formula_sum 'Tm6 Cd1 Pb5'
_cell_length_a 9.0357
_cell_length_b 9.0357
_cell_length_c 9.0357
_cell_angle_alpha 148.26
_cell_angle_beta 122.21
_cell_angle_gamma 67.45
_space_group_name_H-M_alt 'P 1'
_space_group_IT_number 1
loop_
_space_group_symop_operation_xyz
'x,y,z'
loop_
_atom_site_label
_atom_site_fract_x
_atom_site_fract_y
_atom_site_fract_z
_atom_site_occupancy
Tm1 0.0815 0.3331 0.7483 1
Tm2 0.2479 0.0000 0.2479 1
Tm3 0.4152 0.6669 0.7483 1
Tm4 0.5848 0.3331 0.2517 1
Tm5 0.7521 0.0000 0.7521 1
Tm6 0.9185 0.6669 0.2517 1
Cd1 0.0000 0.5000 0.5000 1
Pb1 0.1607 0.1607 0.0000 1
Pb2 0.3334 0.8334 0.5000 1
Pb3 0.5000 0.5000 0.0000 1
Pb4 0.6666 0.1666 0.5000 1
Pb5 0.8393 0.8393 0.0000 1
# Total magnetic moment: 0.00 μB per formula unit
# Calculated density: 11.07 Mg/m³
# Symmetry: Immm (71)
# Formation enthalpy at 0 K: -0.35 eV/atom